Entry 1:
A relaxed HgHI3 crystal, computed with GGA-PBE.

POSCAR file:
```
HgHI3
1.0
7.3368 0.0000 0.0000
1.6608 7.7733 0.0000
2.9738 1.7474 7.3834
Hg H I
2 2 6
Direct
0.1672 0.0296 0.1537 Hg
0.8328 0.9704 0.8463 Hg
0.4046 0.7566 0.6831 H
0.5954 0.2434 0.3169 H
0.0521 0.2303 0.7624 I
0.2604 0.7204 0.5829 I
0.4119 0.2614 0.0934 I
0.5881 0.7386 0.9066 I
0.7396 0.2796 0.4171 I
0.9479 0.7697 0.2376 I
```

energy above the lowest structure with this stoichiometry: 0.002 eV/atom
electronic total energy: -1.810 eV/atom
size of the total moment: 0.000 μB/atom



Entry 2:
A relaxed GdMgGaPd crystal, computed with GGA-PBE.

POSCAR file:
```
GdMgGaPd
1.0
0.0000 3.4284 3.4284
3.4284 0.0000 3.4284
3.4284 3.4284 0.0000
Gd Mg Ga Pd
1 1 1 1
Direct
0.0000 0.0000 0.0000 Gd
0.5000 0.5000 0.5000 Mg
0.2500 0.2500 0.2500 Ga
0.7500 0.7500 0.7500 Pd
```

calculated formation energy: -0.622 eV per atom
electronic total energy: -6.596 eV/atom
size of the total moment: 1.779 μB/atom



Entry 3:
A relaxed LaCr2CoIr crystal, computed with GGA-PBE.

POSCAR file:
```
LaCr2CoIr
1.0
4.7875 0.0000 0.0000
0.0000 4.7875 0.0000
0.0000 0.0000 5.4685
La Cr Co Ir
1 2 1 1
Direct
0.0000 0.0000 0.0000 La
0.0000 0.5000 0.5000 Cr
0.5000 0.0000 0.5000 Cr
0.5000 0.5000 0.0000 Co
0.0000 0.0000 0.5000 Ir
```

calculated formation energy: 0.994 eV per atom
electronic total energy: -7.034 eV/atom
size of the total moment: 1.117 μB/atom



Entry 4:
A relaxed TmTlSnHg crystal, computed with GGA-PBE.

POSCAR file:
```
TmTlSnHg
1.0
0.0000 3.7864 3.7864
3.7864 0.0000 3.7864
3.7864 3.7864 0.0000
Tm Tl Sn Hg
1 1 1 1
Direct
0.0000 0.0000 0.0000 Tm
0.5000 0.5000 0.5000 Tl
0.2500 0.2500 0.2500 Sn
0.7500 0.7500 0.7500 Hg
```

calculated formation energy: -0.160 eV per atom
electronic total energy: -2.946 eV/atom
size of the total moment: 0.000 μB/atom



Entry 5:
A relaxed Ac2DyPd2O6 crystal, computed with GGA-PBE.

POSCAR file:
```
Ac2DyPd2O6
1.0
3.1068 1.7937 5.6006
-3.1068 1.7937 5.6006
0.0000 -3.5874 5.6006
Ac Dy Pd O
2 1 2 6
Direct
0.2098 0.2098 0.2098 Ac
0.7902 0.7902 0.7902 Ac
0.0000 0.0000 0.0000 Dy
0.4091 0.4091 0.4091 Pd
0.5909 0.5909 0.5909 Pd
0.1939 0.7578 0.7578 O
0.2422 0.2422 0.8061 O
0.2422 0.8061 0.2422 O
0.7578 0.1939 0.7578 O
0.7578 0.7578 0.1939 O
0.8061 0.2422 0.2422 O
```

electronic total energy: -6.785 eV/atom
size of the total moment: 0.275 μB/atom



Entry 6:
A relaxed PmNbNi crystal, computed with GGA-PBE.

POSCAR file:
```
PmNbNi
1.0
10.7722 0.0000 0.0000
0.0000 2.3504 2.3757
0.0000 -2.3504 2.3757
Pm Nb Ni
2 2 2
Direct
0.1653 0.0000 0.0000 Pm
0.8347 0.0000 0.0000 Pm
0.3774 0.5000 0.5000 Nb
0.6226 0.5000 0.5000 Nb
0.0000 0.5017 0.5017 Ni
0.5000 0.9693 0.9693 Ni
```

calculated formation energy: 0.102 eV per atom
electronic total energy: -6.766 eV/atom
size of the total moment: 0.000 μB/atom



Entry 7:
A relaxed BaSr2Ac crystal, computed with GGA-PBE.

POSCAR file:
```
BaSr2Ac
1.0
0.0000 4.7306 4.7306
4.7306 0.0000 4.7306
4.7306 4.7306 0.0000
Ba Sr Ac
1 2 1
Direct
0.0000 0.0000 0.0000 Ba
0.2500 0.2500 0.2500 Sr
0.7500 0.7500 0.7500 Sr
0.5000 0.5000 0.5000 Ac
```

calculated formation energy: 0.091 eV per atom
energy above the lowest structure with this stoichiometry: 0.044 eV/atom
electronic total energy: -2.258 eV/atom
size of the total moment: 0.000 μB/atom



Entry 8:
A relaxed LaSc3Sb crystal, computed with GGA-PBE.

POSCAR file:
```
LaSc3Sb
1.0
5.1850 0.0000 0.0000
0.0000 5.1850 0.0000
0.0000 0.0000 5.1850
La Sc Sb
1 3 1
Direct
0.0000 0.0000 0.0000 La
0.0000 0.0000 0.5000 Sc
0.0000 0.5000 0.0000 Sc
0.5000 0.0000 0.0000 Sc
0.5000 0.5000 0.5000 Sb
```

energy above the lowest structure with this stoichiometry: 0.705 eV/atom
electronic total energy: -4.828 eV/atom
size of the total moment: 0.000 μB/atom



| no. | density of states at the Fermi level (states/eV/cell) |
| --- | --- |
| 1 | 0.0 |
| 2 | 1.4 |
| 3 | 10.1 |
| 4 | 2.4 |
| 5 | 5.7 |
| 6 | 7.5 |
| 7 | 5.4 |
| 8 | 8.0 |